Record 1
Tb5Pm2Pr4, optimized geometry, DFT PBE-GGA; ΔE_f = 0.1034 eV per atom
1.0
9.724 -2.879 0.000
9.724 2.879 0.000
-0.112 0.000 6.713
Tb Pm Pr
5 2 4
direct
0.000 0.000 0.000 Tb
0.291 0.291 0.599 Tb
0.369 0.369 0.107 Tb
0.631 0.631 0.893 Tb
0.709 0.709 0.401 Tb
0.098 0.098 0.553 Pm
0.902 0.902 0.447 Pm
0.195 0.195 0.078 Pr
0.479 0.479 0.716 Pr
0.521 0.521 0.284 Pr
0.805 0.805 0.922 Pr

***

Record 2
Tb6Pm2Pr, optimized geometry, DFT PBE-GGA; ΔE_f = 0.6963 eV per atom
1.0
8.197 0.000 0.000
0.000 8.197 0.000
0.000 0.000 10.442
Tb Pm Pr
12 4 2
direct
0.236 0.236 0.000 Tb
0.238 0.238 0.333 Tb
0.238 0.238 0.667 Tb
0.262 0.738 0.167 Tb
0.262 0.738 0.833 Tb
0.264 0.736 0.500 Tb
0.736 0.264 0.500 Tb
0.738 0.262 0.167 Tb
0.738 0.262 0.833 Tb
0.762 0.762 0.333 Tb
0.762 0.762 0.667 Tb
0.764 0.764 0.000 Tb
0.000 0.000 0.167 Pm
0.000 0.000 0.833 Pm
0.500 0.500 0.333 Pm
0.500 0.500 0.667 Pm
0.000 0.000 0.500 Pr
0.500 0.500 0.000 Pr

***

Record 3
Tb3Pm4Pr8, optimized geometry, DFT PBE-GGA; ΔE_f = 0.1273 eV per atom
1.0
3.560 2.056 12.127
-3.560 2.056 12.127
0.000 -4.111 12.127
Tb Pm Pr
3 4 8
direct
0.000 0.500 0.500 Tb
0.500 0.000 0.500 Tb
0.500 0.500 0.000 Tb
0.000 0.000 0.000 Pm
0.164 0.164 0.164 Pm
0.500 0.500 0.500 Pm
0.836 0.836 0.836 Pm
0.250 0.250 0.747 Pr
0.250 0.747 0.250 Pr
0.253 0.750 0.750 Pr
0.254 0.254 0.254 Pr
0.746 0.746 0.746 Pr
0.747 0.250 0.250 Pr
0.750 0.253 0.750 Pr
0.750 0.750 0.253 Pr

***

| no. | distance to the lowest polymorph of the same formula (meV/atom) |
| --- | --- |
| 1 | 0 |
| 2 | 595 |
| 3 | 0 |